# Th2IN2, relaxed, DFT GGA-PBE
data_Th2IN2
_space_group_name_H-M_alt 'P 1'
_space_group_IT_number 1
_cell_length_a 3.9838
_cell_length_b 3.9838
_cell_length_c 6.9159
_cell_angle_alpha 90.00
_cell_angle_beta 90.00
_cell_angle_gamma 90.00
loop_
_space_group_symop_operation_xyz
'x,y,z'
loop_
_atom_site_label
_atom_site_type_symbol
_atom_site_fract_x
_atom_site_fract_y
_atom_site_fract_z
Th1 Th 0.0000 0.0000 0.2031
Th2 Th 0.0000 0.0000 0.7969
I1 I 0.5000 0.5000 0.5000
N1 N 0.0000 0.5000 0.0000
N2 N 0.5000 0.0000 0.0000
# Space-group type ... P4/mmm (123)
# Volume ... 109.8 Å³ per cell
# N(E_F) ... 2.9 states/eV/cell
# DFT total energy ... -36.94 eV/f.u.